(1)
Crystalline NaGaSn at its relaxed geometry, computed with PBE-GGA.

Output
DFT formation energy	0.057	eV/atom
size of the total moment	0.00	μB per formula unit
calculated density	4.17	Mg/m³
crystal system	tetragonal

Cell and atoms, written as CIF:
```
data_NaGaSn
_cell_length_a 10.8762
_cell_length_b 10.8762
_cell_length_c 5.7002
_cell_angle_alpha 90.00
_cell_angle_beta 90.00
_cell_angle_gamma 90.00
_symmetry_space_group_name_H-M 'I 4/m m m'
_symmetry_Int_Tables_number 139
_symmetry_space_group_name_Hall '-I 4 2'
loop_
_atom_site_label
_atom_site_fract_x
_atom_site_fract_y
_atom_site_fract_z
_atom_site_occupancy
Na1 0.0000 0.2235 0.0000 1
Ga1 0.1262 0.1262 0.5000 1
Sn1 0.0000 0.3558 0.5000 1
```

(2)
Crystalline NaGaSn2 at its relaxed geometry, computed with PBE-GGA.

Output
DFT formation energy	0.004	eV/atom
size of the total moment	0.00	μB per formula unit
calculated density	4.79	Mg/m³
crystal system	trigonal

Cell and atoms, written as CIF:
```
data_NaGaSn2
_cell_length_a 4.2972
_cell_length_b 4.2972
_cell_length_c 21.4852
_cell_angle_alpha 90.00
_cell_angle_beta 90.00
_cell_angle_gamma 120.00
_symmetry_space_group_name_H-M 'R 3 m'
_symmetry_Int_Tables_number 160
_symmetry_space_group_name_Hall 'R 3 -2"'
loop_
_atom_site_label
_atom_site_fract_x
_atom_site_fract_y
_atom_site_fract_z
_atom_site_occupancy
Na1 0.0000 0.0000 0.0000 1
Ga1 0.0000 0.0000 0.8340 1
Sn1 0.0000 0.0000 0.2293 1
Sn2 0.0000 0.0000 0.4388 1
```

(3)
Crystalline NaGa4Sn2 at its relaxed geometry, computed with PBE-GGA.

Output
DFT formation energy	-0.025	eV/atom
size of the total moment	0.00	μB per formula unit
excess energy over the best structure of this formula in the dataset	0	meV per atom
calculated density	5.17	Mg/m³
crystal system	orthorhombic

Cell and atoms, written as CIF:
```
data_NaGa4Sn2
_cell_length_a 5.0654
_cell_length_b 15.7696
_cell_length_c 4.3340
_cell_angle_alpha 90.00
_cell_angle_beta 90.00
_cell_angle_gamma 90.00
_symmetry_space_group_name_H-M 'C m m m'
_symmetry_Int_Tables_number 65
_symmetry_space_group_name_Hall '-C 2 2'
loop_
_atom_site_label
_atom_site_fract_x
_atom_site_fract_y
_atom_site_fract_z
_atom_site_occupancy
Na1 0.0000 0.0000 0.0000 1
Ga1 0.0000 0.1815 0.5000 1
Ga2 0.0000 0.2880 0.0000 1
Sn1 0.0000 0.4058 0.5000 1
```

(4)
Crystalline NaGaSn2 at its relaxed geometry, computed with PBE-GGA.

Output
DFT formation energy	0.123	eV/atom
size of the total moment	0.00	μB per formula unit
calculated density	3.94	Mg/m³
crystal system	trigonal

Cell and atoms, written as CIF:
```
data_NaGaSn2
_cell_length_a 4.2530
_cell_length_b 4.2530
_cell_length_c 26.6493
_cell_angle_alpha 90.00
_cell_angle_beta 90.00
_cell_angle_gamma 120.00
_symmetry_space_group_name_H-M 'R -3 m'
_symmetry_Int_Tables_number 166
_symmetry_space_group_name_Hall '-R 3 2"'
loop_
_atom_site_label
_atom_site_fract_x
_atom_site_fract_y
_atom_site_fract_z
_atom_site_occupancy
Na1 0.0000 0.0000 0.0000 1
Ga1 0.0000 0.0000 0.5000 1
Sn1 0.0000 0.0000 0.1174 1
```

(5)
Crystalline NaGaSn2 at its relaxed geometry, computed with PBE-GGA.

Output
DFT formation energy	-0.082	eV/atom
size of the total moment	0.00	μB per formula unit
calculated density	5.36	Mg/m³
crystal system	tetragonal

Cell and atoms, written as CIF:
```
data_NaGaSn2
_cell_length_a 3.7547
_cell_length_b 3.7547
_cell_length_c 7.2518
_cell_angle_alpha 90.00
_cell_angle_beta 90.00
_cell_angle_gamma 90.00
_symmetry_space_group_name_H-M 'P 4/m m m'
_symmetry_Int_Tables_number 123
_symmetry_space_group_name_Hall '-P 4 2'
loop_
_atom_site_label
_atom_site_fract_x
_atom_site_fract_y
_atom_site_fract_z
_atom_site_occupancy
Na1 0.0000 0.0000 0.0000 1
Ga1 0.0000 0.0000 0.5000 1
Sn1 0.5000 0.5000 0.2901 1
```

(6)
Crystalline Na5Ga2Sn4 at its relaxed geometry, computed with PBE-GGA.

Output
DFT formation energy	-0.091	eV/atom
size of the total moment	0.00	μB per formula unit
calculated density	3.86	Mg/m³
crystal system	orthorhombic

Cell and atoms, written as CIF:
```
data_Na5Ga2Sn4
_cell_length_a 3.3190
_cell_length_b 9.6351
_cell_length_c 19.6369
_cell_angle_alpha 90.00
_cell_angle_beta 90.00
_cell_angle_gamma 90.00
_symmetry_space_group_name_H-M 'I m m m'
_symmetry_Int_Tables_number 71
_symmetry_space_group_name_Hall '-I 2 2'
loop_
_atom_site_label
_atom_site_fract_x
_atom_site_fract_y
_atom_site_fract_z
_atom_site_occupancy
Na1 0.0000 0.0000 0.0000 1
Na2 0.0000 0.2688 0.3370 1
Ga1 0.0000 0.5000 0.0828 1
Sn1 0.0000 0.1961 0.5000 1
Sn2 0.0000 0.5000 0.2233 1
```

(7)
Crystalline Na16Ga12Sn at its relaxed geometry, computed with PBE-GGA.

Output
DFT formation energy	-0.078	eV/atom
size of the total moment	0.00	μB per formula unit
calculated density	3.18	Mg/m³
crystal system	monoclinic

Cell and atoms, written as CIF:
```
data_Na16Ga12Sn
_cell_length_a 11.1144
_cell_length_b 15.6410
_cell_length_c 9.4141
_cell_angle_alpha 90.00
_cell_angle_beta 122.50
_cell_angle_gamma 90.00
_symmetry_space_group_name_H-M 'C 1 m 1'
_symmetry_Int_Tables_number 8
_symmetry_space_group_name_Hall 'C -2y'
loop_
_atom_site_label
_atom_site_fract_x
_atom_site_fract_y
_atom_site_fract_z
_atom_site_occupancy
Na1 0.0000 0.0000 0.0000 1
Na2 0.0042 0.0000 0.6390 1
Na3 0.0116 0.3091 0.3048 1
Na4 0.0463 0.3745 0.0127 1
Na5 0.2054 0.2050 0.6802 1
Na6 0.3076 0.0000 0.7104 1
Na7 0.3230 0.3195 0.0090 1
Na8 0.3427 0.0000 0.3169 1
Na9 0.3474 0.3344 0.4115 1
Na10 0.4464 0.1488 0.6002 1
Ga1 0.0015 0.1837 0.8226 1
Ga2 0.0901 0.0902 0.3541 1
Ga3 0.1550 0.5000 0.8283 1
Ga4 0.1667 0.1796 0.1672 1
Ga5 0.2502 0.4062 0.6636 1
Ga6 0.2508 0.0925 0.9801 1
Ga7 0.3301 0.5000 0.1916 1
Sn1 0.1562 0.5000 0.3573 1
```

(8)
Crystalline NaGaSn at its relaxed geometry, computed with PBE-GGA.

Output
DFT formation energy	-0.170	eV/atom
size of the total moment	0.00	μB per formula unit
calculated density	4.65	Mg/m³
crystal system	orthorhombic

Cell and atoms, written as CIF:
```
data_NaGaSn
_cell_length_a 4.8321
_cell_length_b 7.7597
_cell_length_c 8.0609
_cell_angle_alpha 90.00
_cell_angle_beta 90.00
_cell_angle_gamma 90.00
_symmetry_space_group_name_H-M 'I m m 2'
_symmetry_Int_Tables_number 44
_symmetry_space_group_name_Hall 'I 2 -2'
loop_
_atom_site_label
_atom_site_fract_x
_atom_site_fract_y
_atom_site_fract_z
_atom_site_occupancy
Na1 0.0000 0.0000 0.0000 1
Na2 0.0000 0.5000 0.1250 1
Ga1 0.0000 0.1690 0.3976 1
Sn1 0.0000 0.3048 0.7171 1
```

(9)
Crystalline Na4Ga2Sn3 at its relaxed geometry, computed with PBE-GGA.

Output
DFT formation energy	-0.100	eV/atom
size of the total moment	0.00	μB per formula unit
calculated density	3.88	Mg/m³
crystal system	monoclinic

Cell and atoms, written as CIF:
```
data_Na4Ga2Sn3
_cell_length_a 16.6895
_cell_length_b 4.1739
_cell_length_c 7.6844
_cell_angle_alpha 90.00
_cell_angle_beta 109.99
_cell_angle_gamma 90.00
_symmetry_space_group_name_H-M 'C 1 2/m 1'
_symmetry_Int_Tables_number 12
_symmetry_space_group_name_Hall '-C 2y'
loop_
_atom_site_label
_atom_site_fract_x
_atom_site_fract_y
_atom_site_fract_z
_atom_site_occupancy
Na1 0.0850 0.0000 0.3475 1
Na2 0.2391 0.5000 0.2083 1
Ga1 0.1142 0.0000 0.9577 1
Sn1 0.0000 0.5000 0.0000 1
Sn2 0.0854 0.5000 0.6718 1
```

(10)
Crystalline Na2Ga3Sn at its relaxed geometry, computed with PBE-GGA.

Output
DFT formation energy	-0.109	eV/atom
size of the total moment	0.00	μB per formula unit
calculated density	4.50	Mg/m³
crystal system	orthorhombic

Cell and atoms, written as CIF:
```
data_Na2Ga3Sn
_cell_length_a 7.4668
_cell_length_b 9.2209
_cell_length_c 16.0351
_cell_angle_alpha 90.00
_cell_angle_beta 90.00
_cell_angle_gamma 90.00
_symmetry_space_group_name_H-M 'F m m m'
_symmetry_Int_Tables_number 69
_symmetry_space_group_name_Hall '-F 2 2'
loop_
_atom_site_label
_atom_site_fract_x
_atom_site_fract_y
_atom_site_fract_z
_atom_site_occupancy
Na1 0.2480 0.0000 0.0000 1
Na2 0.2500 0.2500 0.2500 1
Ga1 0.0000 0.0000 0.3390 1
Ga2 0.0000 0.2417 0.4201 1
Sn1 0.0000 0.0000 0.1659 1
```

(11)
Crystalline NaGaSn at its relaxed geometry, computed with PBE-GGA.

Output
DFT formation energy	0.420	eV/atom
size of the total moment	0.00	μB per formula unit
calculated density	2.84	Mg/m³
crystal system	hexagonal

Cell and atoms, written as CIF:
```
data_NaGaSn
_cell_length_a 5.2719
_cell_length_b 5.2719
_cell_length_c 10.2718
_cell_angle_alpha 90.00
_cell_angle_beta 90.00
_cell_angle_gamma 120.00
_symmetry_space_group_name_H-M 'P 63/m m c'
_symmetry_Int_Tables_number 194
_symmetry_space_group_name_Hall '-P 6c 2c'
loop_
_atom_site_label
_atom_site_fract_x
_atom_site_fract_y
_atom_site_fract_z
_atom_site_occupancy
Na1 0.3333 0.6667 0.2500 1
Ga1 0.0000 0.0000 0.2500 1
Sn1 0.0000 0.0000 0.0000 1
```